No. 1
Here is a relaxed structure of Mn2HPdAu from the Alexandria database. Energies are from PBE.

a b c (Å): 4.042 4.042 3.953
angles (deg): 90.00 90.00 90.00
Space group P4/mmm (No. 123)
Unique sites:
Mn  0.000  0.500  0.000 (multiplicity 2)
H  0.000  0.000  0.000 (multiplicity 1)
Pd  0.500  0.500  0.500 (multiplicity 1)
Au  0.000  0.000  0.500 (multiplicity 1)

Output
Relative energy among the computed polymorphs in kJ/mol of atoms: 10.86

No. 2
Here is a relaxed structure of MnH2PtAu from the Alexandria database. Energies are from PBE.

a b c (Å): 3.663 3.663 5.260
angles (deg): 90.00 90.00 90.00
Space group P4/mmm (No. 123)
Unique sites:
Mn  0.000  0.000  0.000 (multiplicity 1)
H  0.000  0.500  0.000 (multiplicity 2)
Pt  0.500  0.500  0.500 (multiplicity 1)
Au  0.000  0.000  0.500 (multiplicity 1)

Output
Total DFT energy (no corrections) in eV/cell: -22.54

No. 3
Here is a relaxed structure of MnHRhAu2 from the Alexandria database. Energies are from PBE.

a b c (Å): 4.253 4.253 3.785
angles (deg): 90.00 90.00 90.00
Space group P4/mmm (No. 123)
Unique sites:
Mn  0.000  0.000  0.000 (multiplicity 1)
H  0.500  0.500  0.500 (multiplicity 1)
Rh  0.500  0.500  0.000 (multiplicity 1)
Au  0.000  0.500  0.500 (multiplicity 2)

Output
Total DFT energy (no corrections) in eV/cell: -26.19

No. 4
Here is a relaxed structure of MnHRh2Au from the Alexandria database. Energies are from PBE.

a b c (Å): 3.957 3.957 4.037
angles (deg): 90.00 90.00 90.00
Space group P4/mmm (No. 123)
Unique sites:
Mn  0.000  0.000  0.000 (multiplicity 1)
H  0.500  0.500  0.500 (multiplicity 1)
Rh  0.000  0.500  0.500 (multiplicity 2)
Au  0.500  0.500  0.000 (multiplicity 1)

Output
Relative energy among the computed polymorphs in kJ/mol of atoms: 7.73

No. 5
Here is a relaxed structure of MnHRh2Au from the Alexandria database. Energies are from PBE.

a b c (Å): 3.944 3.944 4.007
angles (deg): 90.00 90.00 90.00
Space group P4/mmm (No. 123)
Unique sites:
Mn  0.000  0.000  0.000 (multiplicity 1)
H  0.000  0.000  0.500 (multiplicity 1)
Rh  0.000  0.500  0.500 (multiplicity 2)
Au  0.500  0.500  0.000 (multiplicity 1)

Output
Relative energy among the computed polymorphs in kJ/mol of atoms: 0.00

No. 6
Here is a relaxed structure of Mn2HRuAu from the Alexandria database. Energies are from PBE.

a b c (Å): 3.806 3.806 3.805
angles (deg): 90.00 90.00 90.00
Space group P4/mmm (No. 123)
Unique sites:
Mn  0.000  0.500  0.000 (multiplicity 2)
H  0.000  0.000  0.000 (multiplicity 1)
Ru  0.000  0.000  0.500 (multiplicity 1)
Au  0.500  0.500  0.500 (multiplicity 1)

Output
Total DFT energy (no corrections) in eV/cell: -32.75

| no. | total magnetic moment (μB per formula unit) | N(E_F) (states/eV per cell) |
| --- | --- | --- |
| 1 | 7.881 | 3.8 |
| 2 | 3.962 | 1.7 |
| 3 | 4.780 | 1.9 |
| 4 | 4.223 | 5.0 |
| 5 | 4.504 | 4.6 |
| 6 | 0.000 | 7.2 |